[1]
{
  "formula": "Na2MnAgF8",
  "functional": "GGA+U",
  "state": "relaxed",
  "lattice_angstrom": [[5.002, -0.132, -0.003], [-0.114, 4.999, -0.005], [0.004, 0.008, 6.917]],
  "species": ["F", "F", "F", "F", "Mn", "F", "Na", "Na", "F", "F", "Ag", "F"],
  "frac_coords": [[0.733, 0.733, 0.000], [0.176, 0.824, 0.195], [0.176, 0.824, 0.804], [0.704, 0.705, 0.500], [0.000, 0.000, 0.000], [0.296, 0.295, 0.500], [0.500, 0.500, 0.243], [0.500, 0.500, 0.757], [0.267, 0.267, 0.000], [0.824, 0.176, 0.196], [0.000, 0.000, 0.500], [0.824, 0.176, 0.805]],
  "vol_a3_per_atom": 14.4,
  "e_tot_ry_per_atom": -0.330,
  "space_group": "Cmmm (65)"
}

---

[2]
{
  "formula": "NaMnAgF6",
  "functional": "GGA+U",
  "state": "relaxed",
  "lattice_angstrom": [[-0.868, 3.067, -3.962], [3.163, -2.783, -2.847], [-7.770, -5.900, -2.865]],
  "species": ["Ag", "F", "Mn", "F", "Mn", "F", "F", "Na", "F", "Ag", "F", "F", "F", "Na", "F", "F", "F", "F"],
  "frac_coords": [[0.500, 0.500, 0.172], [0.740, 0.740, 0.335], [0.000, 0.000, 0.333], [0.180, 0.820, 0.466], [0.500, 0.500, 0.833], [0.240, 0.760, 0.835], [0.760, 0.240, 0.835], [0.500, 0.500, 0.497], [0.323, 0.323, 0.698], [0.000, 0.000, 0.672], [0.680, 0.680, 0.966], [0.677, 0.677, 0.698], [0.177, 0.823, 0.198], [0.000, 0.000, 0.997], [0.320, 0.320, 0.966], [0.823, 0.177, 0.198], [0.820, 0.180, 0.466], [0.260, 0.260, 0.335]],
  "vol_a3_per_atom": 14.6,
  "e_tot_ry_per_atom": -0.343,
  "space_group": "P4_2nm (102)"
}

---

[3]
{
  "formula": "MnNiAg2F6",
  "functional": "GGA+U",
  "state": "relaxed",
  "lattice_angstrom": [[5.745, 0.025, -0.034], [2.895, 4.995, 0.003], [2.849, 1.691, 4.684]],
  "species": ["Mn", "Ni", "Ag", "F", "F", "Ag", "F", "F", "F", "F"],
  "frac_coords": [[0.816, 0.816, 0.552], [0.316, 0.316, 0.051], [0.067, 0.055, 0.802], [0.016, 0.611, 0.243], [0.616, 0.021, 0.860], [0.565, 0.577, 0.301], [0.125, 0.020, 0.348], [0.076, 0.458, 0.806], [0.557, 0.174, 0.296], [0.507, 0.612, 0.755]],
  "vol_a3_per_atom": 13.4,
  "e_tot_ry_per_atom": -0.334,
  "space_group": "P-1 (2)"
}

---

[4]
{
  "formula": "MnNiAgF6",
  "functional": "GGA+U",
  "state": "relaxed",
  "lattice_angstrom": [[5.275, 0.000, 0.000], [-2.638, 4.569, 0.000], [0.000, 0.000, 10.553]],
  "species": ["Ni", "F", "Ag", "F", "Ni", "F", "F", "F", "F", "F", "F", "Ag", "F", "Mn", "F", "F", "F", "Mn"],
  "frac_coords": [[0.667, 0.333, 0.250], [0.639, 0.016, 0.850], [0.000, 0.000, 0.500], [0.984, 0.361, 0.650], [0.333, 0.667, 0.750], [0.016, 0.377, 0.150], [0.639, 0.623, 0.650], [0.361, 0.984, 0.150], [0.377, 0.016, 0.650], [0.984, 0.623, 0.850], [0.377, 0.361, 0.850], [0.000, 0.000, 0.000], [0.361, 0.377, 0.350], [0.333, 0.667, 0.250], [0.623, 0.639, 0.150], [0.016, 0.639, 0.350], [0.623, 0.984, 0.350], [0.667, 0.333, 0.750]],
  "vol_a3_per_atom": 14.1,
  "e_tot_ry_per_atom": -0.336,
  "space_group": "P-31c (163)"
}

---

[5]
{
  "formula": "NpMnAgF6",
  "functional": "GGA+U",
  "state": "relaxed",
  "lattice_angstrom": [[-3.936, -4.352, 0.733], [5.766, -1.070, 0.755], [-0.828, 2.381, 9.695]],
  "species": ["F", "F", "Mn", "Np", "F", "F", "F", "F", "F", "F", "F", "F", "Mn", "Np", "Ag", "F", "F", "Ag"],
  "frac_coords": [[0.625, 0.650, 0.138], [0.975, 0.350, 0.638], [0.667, 0.333, 0.750], [0.333, 0.667, 0.750], [0.350, 0.975, 0.138], [0.375, 0.025, 0.638], [0.375, 0.350, 0.862], [0.650, 0.625, 0.638], [0.025, 0.650, 0.362], [0.350, 0.375, 0.362], [0.025, 0.375, 0.138], [0.650, 0.025, 0.862], [0.333, 0.667, 0.250], [0.667, 0.333, 0.250], [0.000, 0.000, 0.000], [0.625, 0.975, 0.362], [0.975, 0.625, 0.862], [0.000, 0.000, 0.500]],
  "vol_a3_per_atom": 16.8,
  "e_tot_ry_per_atom": -0.446,
  "space_group": "P-31c (163)"
}

---

[6]
{
  "formula": "MnAgOF2",
  "functional": "GGA+U",
  "state": "relaxed",
  "lattice_angstrom": [[4.259, 0.000, 0.000], [0.000, 4.259, 0.000], [0.000, 0.000, 4.204]],
  "species": ["Mn", "O", "Ag", "F", "F"],
  "frac_coords": [[0.500, 0.500, 0.500], [0.000, 0.000, 0.500], [0.000, 0.000, 0.000], [0.500, 0.000, 0.000], [0.000, 0.500, 0.000]],
  "vol_a3_per_atom": 15.3,
  "relative_energy_ev_per_atom": 0.749,
  "space_group": "P4/mmm (123)"
}

---

[7]
{
  "formula": "MnAgOF2",
  "functional": "GGA+U",
  "state": "relaxed",
  "lattice_angstrom": [[4.125, 0.000, 0.000], [0.000, 4.125, 0.000], [0.000, 0.000, 3.802]],
  "species": ["F", "Mn", "F", "Ag", "O"],
  "frac_coords": [[0.500, 0.000, 0.000], [0.000, 0.000, 0.000], [0.000, 0.500, 0.000], [0.500, 0.500, 0.500], [0.000, 0.000, 0.500]],
  "vol_a3_per_atom": 12.9,
  "relative_energy_ev_per_atom": 0.000,
  "space_group": "P4/mmm (123)"
}

---

[8]
{
  "formula": "MnAgPbF6",
  "functional": "GGA+U",
  "state": "relaxed",
  "lattice_angstrom": [[-3.869, -3.551, 0.878], [2.907, -3.760, -2.400], [4.431, -2.525, 9.321]],
  "species": ["F", "F", "Pb", "Ag", "F", "F", "Ag", "Pb", "F", "F", "F", "Mn", "Mn", "F", "F", "F", "F", "F"],
  "frac_coords": [[0.181, 0.819, 0.191], [0.319, 0.319, 0.691], [0.500, 0.500, 0.167], [0.000, 0.000, 0.994], [0.750, 0.250, 0.834], [0.819, 0.181, 0.478], [0.500, 0.500, 0.494], [0.000, 0.000, 0.667], [0.750, 0.750, 0.334], [0.319, 0.319, 0.978], [0.250, 0.250, 0.334], [0.500, 0.500, 0.833], [0.000, 0.000, 0.333], [0.681, 0.681, 0.691], [0.250, 0.750, 0.834], [0.181, 0.819, 0.478], [0.819, 0.181, 0.191], [0.681, 0.681, 0.978]],
  "vol_a3_per_atom": 16.7,
  "e_tot_ry_per_atom": -0.361,
  "space_group": "P4_2nm (102)"
}

---

[9]
{
  "formula": "MnAgPdF6",
  "functional": "GGA+U",
  "state": "relaxed",
  "lattice_angstrom": [[-4.178, 1.607, -2.368], [-2.507, -0.035, 4.399], [2.792, 9.719, 1.668]],
  "species": ["F", "Mn", "F", "F", "F", "F", "Mn", "Pd", "Ag", "F", "F", "F", "F", "F", "Ag", "F", "F", "Pd"],
  "frac_coords": [[0.788, 0.212, 0.849], [0.500, 0.500, 0.834], [0.288, 0.288, 0.986], [0.712, 0.712, 0.349], [0.212, 0.788, 0.486], [0.288, 0.288, 0.349], [0.000, 0.000, 0.334], [0.500, 0.500, 0.498], [0.500, 0.500, 0.167], [0.788, 0.212, 0.486], [0.712, 0.712, 0.986], [0.682, 0.682, 0.665], [0.318, 0.318, 0.665], [0.212, 0.788, 0.849], [0.000, 0.000, 0.667], [0.818, 0.182, 0.165], [0.182, 0.818, 0.165], [0.000, 0.000, 0.998]],
  "vol_a3_per_atom": 14.6,
  "e_tot_ry_per_atom": -0.341,
  "space_group": "P4_2nm (102)"
}

---

[10]
{
  "formula": "PmMnAg2F6",
  "functional": "GGA+U",
  "state": "relaxed",
  "lattice_angstrom": [[6.145, 0.006, -0.008], [-3.067, 5.320, 0.009], [-3.078, -1.772, 5.039]],
  "species": ["F", "F", "Pm", "Mn", "F", "F", "F", "Ag", "Ag", "F"],
  "frac_coords": [[0.069, 0.330, 0.235], [0.511, 0.179, 0.238], [0.997, 0.998, 0.980], [0.997, 0.498, 0.480], [0.076, 0.257, 0.725], [0.917, 0.738, 0.235], [0.482, 0.816, 0.722], [0.496, 0.248, 0.729], [0.497, 0.748, 0.232], [0.924, 0.666, 0.725]],
  "vol_a3_per_atom": 16.5,
  "e_tot_ry_per_atom": -0.389,
  "space_group": "P-1 (2)"
}

---

[11]
{
  "formula": "PmMnAgF6",
  "functional": "GGA+U",
  "state": "relaxed",
  "lattice_angstrom": [[-4.235, -2.533, -1.318], [2.355, -1.763, -4.176], [3.776, -9.508, 6.143]],
  "species": ["F", "F", "Mn", "F", "Ag", "F", "F", "F", "F", "Pm", "F", "Mn", "Pm", "F", "Ag", "F", "F", "F"],
  "frac_coords": [[0.791, 0.791, 0.201], [0.291, 0.709, 0.701], [0.500, 0.500, 0.162], [0.175, 0.825, 0.501], [0.000, 0.000, 0.018], [0.209, 0.209, 0.201], [0.709, 0.291, 0.701], [0.195, 0.195, 0.791], [0.805, 0.805, 0.791], [0.000, 0.000, 0.335], [0.305, 0.695, 0.291], [0.000, 0.000, 0.662], [0.500, 0.500, 0.835], [0.675, 0.675, 0.001], [0.500, 0.500, 0.518], [0.325, 0.325, 0.001], [0.825, 0.175, 0.501], [0.695, 0.305, 0.291]],
  "vol_a3_per_atom": 17.3,
  "e_tot_ry_per_atom": -0.417,
  "space_group": "P4_2nm (102)"
}

---

[12]
{
  "formula": "MnAgPtF6",
  "functional": "GGA+U",
  "state": "relaxed",
  "lattice_angstrom": [[-2.018, 2.363, -4.769], [4.379, -3.627, -0.254], [-6.339, -7.579, -1.073]],
  "species": ["Pt", "Ag", "Pt", "F", "F", "Mn", "Ag", "F", "F", "F", "F", "F", "F", "F", "F", "F", "F", "Mn"],
  "frac_coords": [[0.667, 0.333, 0.250], [0.000, 0.000, 0.500], [0.333, 0.667, 0.750], [0.648, 0.007, 0.359], [0.352, 0.993, 0.641], [0.667, 0.333, 0.750], [0.000, 0.000, 0.000], [0.993, 0.641, 0.359], [0.641, 0.648, 0.641], [0.352, 0.359, 0.859], [0.648, 0.641, 0.141], [0.359, 0.007, 0.141], [0.007, 0.648, 0.859], [0.007, 0.359, 0.641], [0.641, 0.993, 0.859], [0.359, 0.352, 0.359], [0.993, 0.352, 0.141], [0.333, 0.667, 0.250]],
  "vol_a3_per_atom": 15.5,
  "e_tot_ry_per_atom": -0.342,
  "space_group": "P-31c (163)"
}

---

Which formula does entry 2 have?
NaMnAgF6